The following is a PBE calculation of a relaxed structure of TbY3Sb4, from the Open Quantum Materials Database.

abc: 6.209 6.209 6.209
angles: 90.00 90.00 90.00
Fractional positions:
Tb (0.000, 0.000, 0.000)
Y (0.000, 0.500, 0.500)
Y (0.500, 0.000, 0.500)
Y (0.500, 0.500, 0.000)
Sb (0.000, 0.000, 0.500)
Sb (0.000, 0.500, 0.000)
Sb (0.500, 0.000, 0.000)
Sb (0.500, 0.500, 0.500)

Calculated values
Density ... 6.3 g/cm³
Spin magnetization ... 0.00 μB/f.u.
Electronic total energy ... -6.225 eV per atom
SG ... Pm-3m
V ... 29.9 Å³ per atom

---

The following is a PBE calculation of a relaxed structure of TbYSb2, from the Open Quantum Materials Database.

abc: 4.395 4.395 6.215
angles: 90.00 90.00 90.00
Fractional positions:
Tb (0.000, 0.000, 0.000)
Y (0.500, 0.500, 0.500)
Sb (0.000, 0.000, 0.500)
Sb (0.500, 0.500, 0.000)

Calculated values
Density ... 6.8 g/cm³
Spin magnetization ... 0.00 μB/f.u.
Electronic total energy ... -5.992 eV per atom
SG ... P4/mmm
V ... 30.0 Å³ per atom

---

The following is a PBE calculation of a relaxed structure of TbYZr2Sb2, from the Open Quantum Materials Database.

abc: 8.871 8.871 8.871
angles: 152.11 152.11 39.86
Fractional positions:
Tb (0.000, 0.000, 0.000)
Y (0.646, 0.646, 0.000)
Zr (0.323, 0.823, 0.500)
Zr (0.823, 0.323, 0.500)
Sb (0.190, 0.190, 0.000)
Sb (0.456, 0.456, 0.000)

Calculated values
Density ... 7.3 g/cm³
Spin magnetization ... 0.07 μB/f.u.
Electronic total energy ... -6.892 eV per atom
SG ... I4mm
V ... 25.4 Å³ per atom

---

The following is a PBE calculation of a relaxed structure of TbZnSb2, from the Open Quantum Materials Database.

abc: 6.499 6.499 6.499
angles: 107.00 107.00 114.54
Fractional positions:
Tb (0.000, 0.000, 0.000)
Tb (0.750, 0.250, 0.500)
Zn (0.250, 0.750, 0.500)
Zn (0.500, 0.500, 0.000)
Sb (0.170, 0.125, 0.545)
Sb (0.375, 0.830, 0.955)
Sb (0.580, 0.625, 0.455)
Sb (0.875, 0.420, 0.045)

Calculated values
Density ... 7.4 g/cm³
Spin magnetization ... 0.00 μB/f.u.
Electronic total energy ... -3.922 eV per atom
SG ... I-42d
V ... 26.3 Å³ per atom

---

The following is a PBE calculation of a relaxed structure of TcSb2, from the Open Quantum Materials Database.

abc: 4.396 4.396 8.530
angles: 90.00 90.00 120.00
Fractional positions:
Tc (0.333, 0.667, 0.000)
Tc (0.667, 0.333, 0.500)
Sb (0.000, 0.000, 0.063)
Sb (0.000, 0.000, 0.563)
Sb (0.333, 0.667, 0.325)
Sb (0.667, 0.333, 0.825)

Calculated values
Density ... 7.9 g/cm³
Spin magnetization ... 0.01 μB/f.u.
Electronic total energy ... -5.968 eV per atom
SG ... P6_3mc
V ... 23.8 Å³ per atom
Energy above the lowest structure with this stoichiometry ... 0 meV per atom

---

The following is a PBE calculation of a relaxed structure of TcSb2, from the Open Quantum Materials Database.

abc: 5.968 5.968 5.968
angles: 60.00 60.00 60.00
Fractional positions:
Tc (0.125, 0.125, 0.125)
Tc (0.875, 0.875, 0.875)
Sb (0.000, 0.500, 0.500)
Sb (0.500, 0.000, 0.500)
Sb (0.500, 0.500, 0.000)
Sb (0.500, 0.500, 0.500)

Calculated values
Density ... 7.5 g/cm³
Spin magnetization ... 2.71 μB/f.u.
Electronic total energy ... -4.820 eV per atom
SG ... Fd-3m
V ... 25.1 Å³ per atom
Energy above the lowest structure with this stoichiometry ... 1148 meV per atom

---

The following is a PBE calculation of a relaxed structure of TcSb2, from the Open Quantum Materials Database.

abc: 8.063 8.063 8.063
angles: 60.00 60.00 60.00
Fractional positions:
Tc (0.125, 0.125, 0.125)
Tc (0.875, 0.875, 0.875)
Sb (0.000, 0.000, 0.000)
Sb (0.000, 0.000, 0.500)
Sb (0.000, 0.500, 0.000)
Sb (0.500, 0.000, 0.000)

Calculated values
Density ... 3.1 g/cm³
Spin magnetization ... 0.01 μB/f.u.
Electronic total energy ... -5.547 eV per atom
SG ... Fd-3m
V ... 61.8 Å³ per atom
Energy above the lowest structure with this stoichiometry ... 421 meV per atom

---

The following is a PBE calculation of a relaxed structure of TcSb3, from the Open Quantum Materials Database.

abc: 6.885 6.885 5.371
angles: 90.00 90.00 120.00
Fractional positions:
Tc (0.333, 0.667, 0.250)
Tc (0.667, 0.333, 0.750)
Sb (0.000, 0.348, 0.500)
Sb (0.000, 0.652, 0.000)
Sb (0.348, 0.000, 0.500)
Sb (0.348, 0.348, 0.000)
Sb (0.652, 0.000, 0.000)
Sb (0.652, 0.652, 0.500)

Calculated values
Density ... 7.0 g/cm³
Spin magnetization ... 0.01 μB/f.u.
Electronic total energy ... -5.426 eV per atom
SG ... P6_322
V ... 27.6 Å³ per atom

---

The following is a PBE calculation of a relaxed structure of Tl2TcSb, from the Open Quantum Materials Database.

abc: 5.104 5.104 5.104
angles: 60.00 60.00 60.00
Fractional positions:
Tl (0.000, 0.000, 0.000)
Tl (0.250, 0.250, 0.250)
Tc (0.500, 0.500, 0.500)
Sb (0.750, 0.750, 0.750)

Calculated values
Density ... 11.1 g/cm³
Spin magnetization ... 1.96 μB/f.u.
Electronic total energy ... -4.073 eV per atom
SG ... F-43m
V ... 23.5 Å³ per atom

---

The following is a PBE calculation of a relaxed structure of TmTcSb, from the Open Quantum Materials Database.

abc: 4.741 4.741 4.741
angles: 60.00 60.00 60.00
Fractional positions:
Tm (0.000, 0.000, 0.000)
Tc (0.250, 0.250, 0.250)
Sb (0.750, 0.750, 0.750)

Calculated values
Density ... 8.6 g/cm³
Spin magnetization ... 0.01 μB/f.u.
Electronic total energy ... -5.710 eV per atom
SG ... F-43m
V ... 25.1 Å³ per atom

---

The following is a PBE calculation of a relaxed structure of UTcSb, from the Open Quantum Materials Database.

abc: 4.741 4.741 4.741
angles: 60.00 60.00 60.00
Fractional positions:
U (0.000, 0.000, 0.000)
Tc (0.250, 0.250, 0.250)
Sb (0.750, 0.750, 0.750)

Calculated values
Density ... 10.1 g/cm³
Spin magnetization ... 0.75 μB/f.u.
Electronic total energy ... -7.751 eV per atom
SG ... F-43m
V ... 25.1 Å³ per atom

---

The following is a PBE calculation of a relaxed structure of TcSbW2, from the Open Quantum Materials Database.

abc: 4.546 4.546 4.546
angles: 60.00 60.00 60.00
Fractional positions:
Tc (0.000, 0.000, 0.000)
Sb (0.750, 0.750, 0.750)
W (0.250, 0.250, 0.250)
W (0.500, 0.500, 0.500)

Calculated values
Density ... 14.7 g/cm³
Spin magnetization ... 0.00 μB/f.u.
Electronic total energy ... -9.680 eV per atom
SG ... F-43m
V ... 16.6 Å³ per atom

---

Q: Number 3 is which compound?
A: TbYZr2Sb2